# 1
Material: NpAlGaPd
Method: DFT, PBE
State: optimized geometry

DOS(E_F): 11.181 states/eV/f.u.
formation energy: -0.12 eV/atom
VASP energy: -25.394 eV per formula unit

Cell lengths 6.6842, 6.6842, 6.6842 Å; angles 90.00, 90.00, 90.00 degrees
Closest atoms and distances in Å follow each position.
Space group F-43m (No. 216)
Symmetry-distinct sites (fractional):
Np1 0.0000 0.0000 0.0000  4 Ga 2.89, 4 Al 2.89
Al1 0.2500 0.2500 0.7500  4 Np 2.89, 4 Pd 2.89
Ga1 0.2500 0.2500 0.2500  4 Pd 2.89, 4 Np 2.89
Pd1 0.0000 0.0000 0.5000  4 Al 2.89, 4 Ga 2.89


# 2
Material: Np2AlGa5Pd2
Method: DFT, PBE
State: optimized geometry

DOS(E_F): 17.237 states/eV/f.u.
formation energy: -0.26 eV/atom
VASP energy: -57.703 eV per formula unit

Cell lengths 9.5716, 9.5716, 4.1219 Å; angles 90.00, 90.00, 90.00 degrees
Closest atoms and distances in Å follow each position.
Space group P4/mbm (No. 127)
Symmetry-distinct sites (fractional):
Np1 0.1876 0.3124 0.0000  3 Pd 2.72-2.95
Al1 0.0000 0.0000 0.0000  8 Ga 2.88
Ga1 0.0000 0.5000 0.5000  4 Pd 2.55
Ga2 0.0519 0.7962 0.5000  2 Pd 2.77, 3 Ga 2.85-2.88, 2 Al 2.88
Pd1 0.1114 0.6114 0.0000  6 Ga 2.55-2.77, 1 Np 2.72


# 3
Material: PrNpAl2Ga5
Method: DFT, PBE
State: optimized geometry

DOS(E_F): 11.793 states/eV/f.u.
formation energy: -0.23 eV/atom
VASP energy: -42.382 eV per formula unit

Cell lengths 4.2798, 4.2798, 10.0369 Å; angles 90.00, 90.00, 90.00 degrees
Closest atoms and distances in Å follow each position.
Space group P4/mmm (No. 123)
Symmetry-distinct sites (fractional):
Pr1 0.0000 0.0000 0.0000  12 Ga 3.03-3.16
Np1 0.0000 0.0000 0.5000  8 Al 3.26, 8 Ga 3.44
Al1 0.5000 0.5000 0.3787  1 Al 2.43, 4 Ga 2.60
Ga1 0.0000 0.5000 0.2314  2 Al 2.60
Ga2 0.5000 0.5000 0.0000  4 Pr 3.03, 8 Ga 3.16


# 4
Material: NpAl2GaSi
Method: DFT, PBE
State: optimized geometry

formation energy (no corrections): -3.6 kcal/mol of atoms
DOS(E_F): 6.367 states/eV/f.u.
VASP energy: -29.653 eV per formula unit

Cell lengths 4.0002, 9.9913, 9.0502 Å; angles 90.00, 90.00, 90.00 degrees
Closest atoms and distances in Å follow each position.
Space group Cmcm (No. 63)
Symmetry-distinct sites (fractional):
Np1 0.0000 0.0770 0.2500  3 Si 2.85-2.93, 4 Ga 3.12
Al1 0.0000 0.2147 0.5903  2 Si 2.59, 3 Al 2.68-2.89
Ga1 0.0000 0.5000 0.0000  2 Si 2.65
Si1 0.0000 0.3626 0.2500  4 Al 2.59, 2 Ga 2.65, 1 Np 2.85


# 5
Material: NpAlGaSn
Method: DFT, PBE
State: optimized geometry

DOS(E_F): 9.010 states/eV/f.u.
formation energy: -0.15 eV/atom
VASP energy: -24.296 eV per formula unit

Cell lengths 4.3105, 4.3928, 4.4716 Å; angles 90.00, 90.00, 90.00 degrees
Closest atoms and distances in Å follow each position.
Space group Pmmm (No. 47)
Symmetry-distinct sites (fractional):
Np1 0.0000 0.0000 0.0000  4 Ga 3.08, 4 Al 3.11, 4 Sn 3.13
Al1 0.5000 0.0000 0.5000  4 Sn 3.08, 4 Np 3.11, 4 Ga 3.13
Ga1 0.5000 0.5000 0.0000  4 Np 3.08, 4 Sn 3.11, 4 Al 3.13
Sn1 0.0000 0.5000 0.5000  4 Al 3.08, 4 Ga 3.11, 4 Np 3.13


# 6
Material: ThNpAl2Ga5
Method: DFT, PBE
State: optimized geometry

DOS(E_F): 11.669 states/eV/f.u.
formation energy: -0.21 eV/atom
VASP energy: -44.832 eV per formula unit

Cell lengths 4.2928, 4.2928, 10.0443 Å; angles 90.00, 90.00, 90.00 degrees
Closest atoms and distances in Å follow each position.
Space group P4/mmm (No. 123)
Symmetry-distinct sites (fractional):
Th1 0.0000 0.0000 0.0000  12 Ga 3.04-3.17
Np1 0.0000 0.0000 0.5000  8 Al 3.27, 8 Ga 3.44
Al1 0.5000 0.5000 0.3786  1 Al 2.44, 4 Ga 2.60
Ga1 0.0000 0.5000 0.2319  2 Al 2.60
Ga2 0.5000 0.5000 0.0000  4 Th 3.04, 8 Ga 3.17


Q: What is the formula in the third record?
A: PrNpAl2Ga5